Entry 1:
The following is a DFT calculation (PBE-GGA) of crystalline Cs2ZnBi2S5 at its relaxed geometry.

Output
- Uncorrected energy: -3.967 eV per atom

Cell: 15.9490 4.1403 18.3554 Å, 90.00 90.00 90.00°
Closest atoms and distances in Å follow each position.
Fractional coordinates of all 40 atoms:
Bi 0.2505 0.2500 0.0167  5 S 2.65-2.91
Bi 0.2078 0.7500 0.1983  6 S 2.77-2.95
Bi 0.7078 0.7500 0.3017  6 S 2.77-2.95
Bi 0.7505 0.2500 0.4833  5 S 2.65-2.91
Bi 0.2495 0.7500 0.5167  5 S 2.65-2.91
Bi 0.2922 0.2500 0.6983  6 S 2.77-2.95
Bi 0.7922 0.2500 0.8017  6 S 2.77-2.95
Bi 0.7495 0.7500 0.9833  5 S 2.65-2.91
Cs 0.9606 0.2500 0.1189  6 S 3.45-3.64
Cs 0.4935 0.7500 0.1220  7 S 3.50-3.58
Cs 0.9935 0.7500 0.3780  7 S 3.50-3.58
Cs 0.4606 0.2500 0.3811  6 S 3.45-3.64
Cs 0.5394 0.7500 0.6189  6 S 3.45-3.64
Cs 0.0065 0.2500 0.6220  7 S 3.50-3.58
Cs 0.5065 0.2500 0.8780  7 S 3.50-3.58
Cs 0.0394 0.7500 0.8811  6 S 3.45-3.64
S 0.6415 0.2500 0.0286  1 Zn 2.36
S 0.1330 0.7500 0.0620  3 Bi 2.77-2.91
S 0.3182 0.2500 0.1486  3 Bi 2.65-2.87
S 0.7854 0.7500 0.1557  2 Zn 2.44
S 0.6073 0.2500 0.2427  1 Zn 2.39
S 0.1073 0.2500 0.2573  1 Zn 2.39
S 0.2854 0.7500 0.3443  2 Zn 2.44
S 0.8182 0.2500 0.3514  3 Bi 2.65-2.87
S 0.6330 0.7500 0.4380  3 Bi 2.77-2.91
S 0.1415 0.2500 0.4714  1 Zn 2.36
S 0.8585 0.7500 0.5286  1 Zn 2.36
S 0.3670 0.2500 0.5620  3 Bi 2.77-2.91
S 0.1818 0.7500 0.6486  3 Bi 2.65-2.87
S 0.7146 0.2500 0.6557  2 Zn 2.44
S 0.8927 0.7500 0.7427  1 Zn 2.39
S 0.3927 0.7500 0.7573  1 Zn 2.39
S 0.2146 0.2500 0.8443  2 Zn 2.44
S 0.6818 0.7500 0.8514  3 Bi 2.65-2.87
S 0.8670 0.2500 0.9380  3 Bi 2.77-2.91
S 0.3585 0.7500 0.9714  1 Zn 2.36
Zn 0.7054 0.2500 0.1445  4 S 2.36-2.44
Zn 0.2054 0.2500 0.3555  4 S 2.36-2.44
Zn 0.7946 0.7500 0.6445  4 S 2.36-2.44
Zn 0.2946 0.7500 0.8555  4 S 2.36-2.44

***

Entry 2:
The following is a DFT calculation (PBE-GGA) of crystalline YNbB at its relaxed geometry.

Output
- E above lowest polymorph: 0 meV per atom
- Total magnetic moment: 0.0 Bohr magnetons per cell
- Uncorrected energy: -7.492 eV per atom

Cell: 4.2342 4.2342 4.2342 Å, 60.00 60.00 60.00°
Closest atoms and distances in Å follow each position.
Fractional coordinates of all 3 atoms:
B 0.0000 0.0000 0.0000  4 Nb 2.59, 4 Y 2.59
Nb 0.2500 0.2500 0.2500  4 B 2.59
Y 0.7500 0.7500 0.7500  4 B 2.59

***

Entry 3:
The following is a DFT calculation (PBE-GGA) of crystalline ErAl4ZnPd2 at its relaxed geometry.

Output
- Total magnetic moment: 0.0 Bohr magnetons per cell
- Uncorrected energy: -4.476 eV per atom

Cell: 7.0706 5.2364 5.2364 Å, 47.06 90.00 90.00°
Closest atoms and distances in Å follow each position.
Fractional coordinates of all 8 atoms:
Al 0.3072 0.1465 0.1465  3 Pd 2.54-2.56, 2 Al 2.73-2.83
Al 0.6928 0.1465 0.1465  3 Pd 2.54-2.56, 2 Al 2.73-2.83
Al 0.2097 0.8612 0.8612  3 Pd 2.55-2.67, 1 Al 2.83
Al 0.7903 0.8612 0.8612  3 Pd 2.55-2.67, 1 Al 2.83
Er 0.0000 0.5691 0.5691  3 Pd 2.73-2.94
Pd 0.0000 0.2845 0.2845  6 Al 2.54-2.67, 1 Er 2.73
Pd 0.5000 0.7037 0.7037  6 Al 2.55-2.56, 1 Zn 2.65
Zn 0.5000 0.4273 0.4273  1 Pd 2.65